w:
As2PbAuBr | PBE-GGA | relaxed

```
data_As2PbAuBr
_cell_length_a 5.0771
_cell_length_b 5.0771
_cell_length_c 5.4215
_cell_angle_alpha 90.00
_cell_angle_beta 90.00
_cell_angle_gamma 90.00
_space_group_name_H-M_alt 'P 4/m m m'
_space_group_IT_number 123
_space_group_name_Hall '-P 4 2'
loop_
_atom_site_label
_atom_site_type_symbol
_atom_site_fract_x
_atom_site_fract_y
_atom_site_fract_z
As1 As 0.0000 0.5000 0.0000
Pb1 Pb 0.0000 0.0000 0.5000
Au1 Au 0.5000 0.5000 0.0000
Br1 Br 0.5000 0.5000 0.5000
```

Values from the calculation:
The magnetic moment is 1.0 μB per cell. As for the crystal system: tetragonal.

x:
As2PbAuBr | PBE-GGA | relaxed

```
data_As2PbAuBr
_cell_length_a 5.5556
_cell_length_b 5.5556
_cell_length_c 5.3242
_cell_angle_alpha 90.00
_cell_angle_beta 90.00
_cell_angle_gamma 90.00
_space_group_name_H-M_alt 'P 4/m m m'
_space_group_IT_number 123
_space_group_name_Hall '-P 4 2'
loop_
_atom_site_label
_atom_site_type_symbol
_atom_site_fract_x
_atom_site_fract_y
_atom_site_fract_z
As1 As 0.0000 0.5000 0.0000
Pb1 Pb 0.0000 0.0000 0.0000
Au1 Au 0.0000 0.0000 0.5000
Br1 Br 0.5000 0.5000 0.5000
```

Values from the calculation:
The magnetic moment is 2.1 μB per cell. As for the crystal system: tetragonal.

Winner for stability: w

w:
RbAs2AuBr | PBE-GGA | relaxed

```
data_RbAs2AuBr
_cell_length_a 4.9255
_cell_length_b 4.9255
_cell_length_c 7.8192
_cell_angle_alpha 90.00
_cell_angle_beta 90.00
_cell_angle_gamma 90.00
_space_group_name_H-M_alt 'P 4/m m m'
_space_group_IT_number 123
_space_group_name_Hall '-P 4 2'
loop_
_atom_site_label
_atom_site_type_symbol
_atom_site_fract_x
_atom_site_fract_y
_atom_site_fract_z
Rb1 Rb 0.0000 0.0000 0.0000
As1 As 0.0000 0.5000 0.5000
Au1 Au 0.5000 0.5000 0.5000
Br1 Br 0.5000 0.5000 0.0000
```

Values from the calculation:
The magnetic moment is 0.5 μB per cell. As for the crystal system: tetragonal.

x:
RbAs2AuBr | PBE-GGA | relaxed

```
data_RbAs2AuBr
_cell_length_a 7.1500
_cell_length_b 7.1500
_cell_length_c 6.1874
_cell_angle_alpha 90.00
_cell_angle_beta 90.00
_cell_angle_gamma 90.00
_space_group_name_H-M_alt 'P 4/m m m'
_space_group_IT_number 123
_space_group_name_Hall '-P 4 2'
loop_
_atom_site_label
_atom_site_type_symbol
_atom_site_fract_x
_atom_site_fract_y
_atom_site_fract_z
Rb1 Rb 0.0000 0.0000 0.0000
As1 As 0.0000 0.5000 0.0000
Au1 Au 0.5000 0.5000 0.5000
Br1 Br 0.0000 0.0000 0.5000
```

Values from the calculation:
The magnetic moment is 5.0 μB per cell. As for the crystal system: tetragonal.

Winner for stability: w

w:
RbAsAuBr2 | PBE-GGA | relaxed

```
data_RbAsAuBr2
_cell_length_a 5.7425
_cell_length_b 5.7425
_cell_length_c 5.0113
_cell_angle_alpha 90.00
_cell_angle_beta 90.00
_cell_angle_gamma 90.00
_space_group_name_H-M_alt 'P 4/m m m'
_space_group_IT_number 123
_space_group_name_Hall '-P 4 2'
loop_
_atom_site_label
_atom_site_type_symbol
_atom_site_fract_x
_atom_site_fract_y
_atom_site_fract_z
Rb1 Rb 0.0000 0.0000 0.0000
As1 As 0.5000 0.5000 0.0000
Au1 Au 0.5000 0.5000 0.5000
Br1 Br 0.0000 0.5000 0.5000
```

Values from the calculation:
The magnetic moment is 2.0 μB per cell. As for the crystal system: tetragonal.

x:
RbAsAuBr2 | PBE-GGA | relaxed

```
data_RbAsAuBr2
_cell_length_a 6.3802
_cell_length_b 6.3802
_cell_length_c 6.8257
_cell_angle_alpha 90.00
_cell_angle_beta 90.00
_cell_angle_gamma 90.00
_space_group_name_H-M_alt 'P 4/m m m'
_space_group_IT_number 123
_space_group_name_Hall '-P 4 2'
loop_
_atom_site_label
_atom_site_type_symbol
_atom_site_fract_x
_atom_site_fract_y
_atom_site_fract_z
Rb1 Rb 0.0000 0.0000 0.0000
As1 As 0.0000 0.0000 0.5000
Au1 Au 0.5000 0.5000 0.5000
Br1 Br 0.0000 0.5000 0.0000
```

Values from the calculation:
The magnetic moment is 3.1 μB per cell. As for the crystal system: tetragonal.

Winner for stability: w

w:
AsAuSe2Br | PBE-GGA | relaxed

```
data_AsAuSe2Br
_cell_length_a 5.0809
_cell_length_b 5.0809
_cell_length_c 5.2210
_cell_angle_alpha 90.00
_cell_angle_beta 90.00
_cell_angle_gamma 90.00
_space_group_name_H-M_alt 'P 4/m m m'
_space_group_IT_number 123
_space_group_name_Hall '-P 4 2'
loop_
_atom_site_label
_atom_site_type_symbol
_atom_site_fract_x
_atom_site_fract_y
_atom_site_fract_z
As1 As 0.0000 0.0000 0.0000
Au1 Au 0.0000 0.0000 0.5000
Se1 Se 0.0000 0.5000 0.5000
Br1 Br 0.5000 0.5000 0.0000
```

Values from the calculation:
The magnetic moment is 0.0 μB per cell. As for the crystal system: tetragonal.

x:
AsAuSe2Br | PBE-GGA | relaxed

```
data_AsAuSe2Br
_cell_length_a 5.0837
_cell_length_b 5.0837
_cell_length_c 5.1490
_cell_angle_alpha 90.00
_cell_angle_beta 90.00
_cell_angle_gamma 90.00
_space_group_name_H-M_alt 'P 4/m m m'
_space_group_IT_number 123
_space_group_name_Hall '-P 4 2'
loop_
_atom_site_label
_atom_site_type_symbol
_atom_site_fract_x
_atom_site_fract_y
_atom_site_fract_z
As1 As 0.0000 0.0000 0.0000
Au1 Au 0.5000 0.5000 0.5000
Se1 Se 0.0000 0.5000 0.0000
Br1 Br 0.0000 0.0000 0.5000
```

Values from the calculation:
The magnetic moment is 0.0 μB per cell. As for the crystal system: tetragonal.

y:
AsAuSe2Br | PBE-GGA | relaxed

```
data_AsAuSe2Br
_cell_length_a 5.0495
_cell_length_b 5.0495
_cell_length_c 5.2731
_cell_angle_alpha 90.00
_cell_angle_beta 90.00
_cell_angle_gamma 90.00
_space_group_name_H-M_alt 'P 4/m m m'
_space_group_IT_number 123
_space_group_name_Hall '-P 4 2'
loop_
_atom_site_label
_atom_site_type_symbol
_atom_site_fract_x
_atom_site_fract_y
_atom_site_fract_z
As1 As 0.0000 0.0000 0.0000
Au1 Au 0.5000 0.5000 0.0000
Se1 Se 0.0000 0.5000 0.5000
Br1 Br 0.0000 0.0000 0.5000
```

Values from the calculation:
The magnetic moment is 0.0 μB per cell. As for the crystal system: tetragonal.

z:
AsAuSe2Br | PBE-GGA | relaxed

```
data_AsAuSe2Br
_cell_length_a 5.1331
_cell_length_b 5.1331
_cell_length_c 5.0448
_cell_angle_alpha 90.00
_cell_angle_beta 90.00
_cell_angle_gamma 90.00
_space_group_name_H-M_alt 'P 4/m m m'
_space_group_IT_number 123
_space_group_name_Hall '-P 4 2'
loop_
_atom_site_label
_atom_site_type_symbol
_atom_site_fract_x
_atom_site_fract_y
_atom_site_fract_z
As1 As 0.0000 0.0000 0.0000
Au1 Au 0.5000 0.5000 0.5000
Se1 Se 0.0000 0.5000 0.5000
Br1 Br 0.5000 0.5000 0.0000
```

Values from the calculation:
The magnetic moment is 0.0 μB per cell. As for the crystal system: tetragonal.

Winner for stability: x

w:
As2AuSeBr | PBE-GGA | relaxed

```
data_As2AuSeBr
_cell_length_a 5.1258
_cell_length_b 5.1258
_cell_length_c 5.0572
_cell_angle_alpha 90.00
_cell_angle_beta 90.00
_cell_angle_gamma 90.00
_space_group_name_H-M_alt 'P 4/m m m'
_space_group_IT_number 123
_space_group_name_Hall '-P 4 2'
loop_
_atom_site_label
_atom_site_type_symbol
_atom_site_fract_x
_atom_site_fract_y
_atom_site_fract_z
As1 As 0.0000 0.5000 0.0000
Au1 Au 0.0000 0.0000 0.0000
Se1 Se 0.5000 0.5000 0.5000
Br1 Br 0.0000 0.0000 0.5000
```

Values from the calculation:
The magnetic moment is 0.4 μB per cell. As for the crystal system: tetragonal.

x:
As2AuSeBr | PBE-GGA | relaxed

```
data_As2AuSeBr
_cell_length_a 5.1597
_cell_length_b 5.1597
_cell_length_c 5.0980
_cell_angle_alpha 90.00
_cell_angle_beta 90.00
_cell_angle_gamma 90.00
_space_group_name_H-M_alt 'P 4/m m m'
_space_group_IT_number 123
_space_group_name_Hall '-P 4 2'
loop_
_atom_site_label
_atom_site_type_symbol
_atom_site_fract_x
_atom_site_fract_y
_atom_site_fract_z
As1 As 0.0000 0.5000 0.0000
Au1 Au 0.0000 0.0000 0.5000
Se1 Se 0.5000 0.5000 0.0000
Br1 Br 0.5000 0.5000 0.5000
```

Values from the calculation:
The magnetic moment is 1.4 μB per cell. As for the crystal system: tetragonal.

Winner for stability: w

w:
As2AuSeBr | PBE-GGA | relaxed

```
data_As2AuSeBr
_cell_length_a 5.1583
_cell_length_b 5.1583
_cell_length_c 5.0638
_cell_angle_alpha 90.00
_cell_angle_beta 90.00
_cell_angle_gamma 90.00
_space_group_name_H-M_alt 'P 4/m m m'
_space_group_IT_number 123
_space_group_name_Hall '-P 4 2'
loop_
_atom_site_label
_atom_site_type_symbol
_atom_site_fract_x
_atom_site_fract_y
_atom_site_fract_z
As1 As 0.0000 0.5000 0.0000
Au1 Au 0.0000 0.0000 0.0000
Se1 Se 0.0000 0.0000 0.5000
Br1 Br 0.5000 0.5000 0.5000
```

Values from the calculation:
The magnetic moment is 0.5 μB per cell. As for the crystal system: tetragonal.

x:
As2AuSeBr | PBE-GGA | relaxed

```
data_As2AuSeBr
_cell_length_a 5.1884
_cell_length_b 5.1884
_cell_length_c 5.0071
_cell_angle_alpha 90.00
_cell_angle_beta 90.00
_cell_angle_gamma 90.00
_space_group_name_H-M_alt 'P 4/m m m'
_space_group_IT_number 123
_space_group_name_Hall '-P 4 2'
loop_
_atom_site_label
_atom_site_type_symbol
_atom_site_fract_x
_atom_site_fract_y
_atom_site_fract_z
As1 As 0.0000 0.5000 0.0000
Au1 Au 0.0000 0.0000 0.5000
Se1 Se 0.5000 0.5000 0.5000
Br1 Br 0.0000 0.0000 0.0000
```

Values from the calculation:
The magnetic moment is 0.0 μB per cell. As for the crystal system: tetragonal.

Winner for stability: w